# 1
Fe2SbSe | PBE | relaxed

Properties
Raw formation energy in meV/atom: 2
Relative energy among the computed polymorphs in meV/atom: 37.0

a = 3.175 Å, b = 3.175 Å, c = 7.544 Å
α = 90.00°, β = 90.00°, γ = 90.00°
Space group P4mm (No. 99)
Symmetry-distinct sites (fractional):
Fe: 0.000 0.000 0.000 [1 per cell]
Fe: 0.500 0.500 0.161 [1 per cell]
Sb: 0.000 0.000 0.382 [1 per cell]
Se: 0.500 0.500 0.838 [1 per cell]

# 2
RbPaPS6 | PBE | relaxed

Properties
Raw formation energy in meV/atom: -813

a = 6.003 Å, b = 6.008 Å, c = 7.423 Å
α = 93.38°, β = 95.01°, γ = 108.68°
Space group P1 (No. 1)
Symmetry-distinct sites (fractional):
Rb: 0.000 0.000 0.000 [1 per cell]
Pa: 0.273 0.589 0.536 [1 per cell]
P: 0.598 0.198 0.497 [1 per cell]
S: 0.263 0.098 0.579 [1 per cell]
S: 0.401 0.685 0.860 [1 per cell]
S: 0.533 0.384 0.283 [1 per cell]
S: 0.669 0.903 0.410 [1 per cell]
S: 0.856 0.406 0.694 [1 per cell]
S: 0.985 0.521 0.253 [1 per cell]

# 3
BeP2W | PBE | relaxed

Properties
DFT total energy in eV per cell: -53.86

a = 8.143 Å, b = 2.958 Å, c = 4.376 Å
α = 90.00°, β = 93.19°, γ = 90.00°
Space group C2/m (No. 12)
Symmetry-distinct sites (fractional):
Be: 0.000 0.000 0.000 [2 per cell]
P: 0.223 0.000 0.739 [4 per cell]
W: 0.000 0.500 0.500 [2 per cell]

# 4
Ba3InHg2O6 | PBE | relaxed

Properties
Raw formation energy in meV/atom: -1512

a = 6.2638 Å, b = 6.2638 Å, c = 6.9325 Å
α = 90.00°, β = 90.00°, γ = 120.00°
Space group P-3m1 (No. 164)
Symmetry-distinct sites (fractional):
Ba: 0.0000 0.0000 0.0000 [1 per cell]
Ba: 0.3333 0.6667 0.6156 [2 per cell]
In: 0.0000 0.0000 0.5000 [1 per cell]
Hg: 0.3333 0.6667 0.1291 [2 per cell]
O: 0.1626 0.3251 0.3154 [6 per cell]

# 5
LaCrCo2 | PBE | relaxed

Properties
DFT total energy in eV per cell: -27.06

a = 3.041 Å, b = 3.041 Å, c = 6.950 Å
α = 90.00°, β = 90.00°, γ = 90.00°
Space group P4mm (No. 99)
Symmetry-distinct sites (fractional):
La: 0.000 0.000 0.000 [1 per cell]
Cr: 0.500 0.500 0.653 [1 per cell]
Co: 0.000 0.000 0.502 [1 per cell]
Co: 0.500 0.500 0.316 [1 per cell]

# 6
Ta2OsPt | PBE | relaxed

Properties
DFT total energy in eV per cell: -124.54

a = 2.8533 Å, b = 2.8533 Å, c = 27.9396 Å
α = 90.00°, β = 90.00°, γ = 120.00°
Space group R-3m (No. 166, hexagonal axes)
Symmetry-distinct sites (fractional):
Ta: 0.0000 0.0000 0.2488 [6 per cell]
Os: 0.0000 0.0000 0.5000 [3 per cell]
Pt: 0.0000 0.0000 0.0000 [3 per cell]

# 7
TeP | PBE | relaxed

Properties
Raw formation energy in meV/atom: 374

a = 4.998 Å, b = 4.998 Å, c = 4.703 Å
α = 90.00°, β = 90.00°, γ = 90.00°
Space group P4/nmm (No. 129, origin choice 2)
Symmetry-distinct sites (fractional):
Te: 0.250 0.250 0.211 [2 per cell]
P: 0.250 0.750 0.000 [2 per cell]

# 8
CsSr2CeCl8 | PBE | relaxed

Properties
Raw formation energy in meV/atom: -2277

a = 6.784 Å, b = 9.331 Å, c = 6.912 Å
α = 90.00°, β = 90.41°, γ = 90.00°
Space group P2/m (No. 10)
Symmetry-distinct sites (fractional):
Cs: 0.000 0.000 0.000 [1 per cell]
Sr: 0.500 0.249 0.500 [2 per cell]
Ce: 0.000 0.500 0.000 [1 per cell]
Cl: 0.237 0.295 0.169 [4 per cell]
Cl: 0.267 0.500 0.680 [2 per cell]
Cl: 0.277 0.000 0.611 [2 per cell]

# 9
NdYHgRu | PBE | relaxed

Properties
Relative energy among the computed polymorphs in meV/atom: 101.1

a = 7.240 Å, b = 7.240 Å, c = 7.240 Å
α = 90.00°, β = 90.00°, γ = 90.00°
Space group F-43m (No. 216)
Symmetry-distinct sites (fractional):
Nd: 0.000 0.000 0.000 [4 per cell]
Y: 0.000 0.000 0.500 [4 per cell]
Hg: 0.250 0.250 0.750 [4 per cell]
Ru: 0.250 0.250 0.250 [4 per cell]

# 10
Ce4RhCl5 | PBE | relaxed

Properties
Raw formation energy in meV/atom: -1611

a = 17.968 Å, b = 3.881 Å, c = 8.451 Å
α = 90.00°, β = 102.27°, γ = 90.00°
Space group C2/m (No. 12)
Symmetry-distinct sites (fractional):
Ce: 0.006 0.000 0.229 [4 per cell]
Ce: 0.170 0.500 0.064 [4 per cell]
Rh: 0.000 0.500 0.000 [2 per cell]
Cl: 0.000 0.500 0.500 [2 per cell]
Cl: 0.161 0.000 0.803 [4 per cell]
Cl: 0.169 0.000 0.316 [4 per cell]

# 11
Tl3Re | PBE | relaxed

Properties
Relative energy among the computed polymorphs in meV/atom: 178.5

a = 5.355 Å, b = 5.355 Å, c = 5.355 Å
α = 90.00°, β = 90.00°, γ = 90.00°
Space group Pm-3m (No. 221)
Symmetry-distinct sites (fractional):
Tl: 0.000 0.000 0.500 [3 per cell]
Re: 0.000 0.000 0.000 [1 per cell]

# 12
Pr2DyScSe6 | PBE | relaxed

Properties
Raw formation energy in meV/atom: -1840

a = 6.895 Å, b = 7.637 Å, c = 12.282 Å
α = 90.00°, β = 123.23°, γ = 90.00°
Space group P2_1/c (No. 14)
Symmetry-distinct sites (fractional):
Pr: 0.204 0.105 0.247 [4 per cell]
Dy: 0.500 0.000 0.000 [2 per cell]
Sc: 0.000 0.000 0.500 [2 per cell]
Se: 0.098 0.189 0.932 [4 per cell]
Se: 0.252 0.679 0.932 [4 per cell]
Se: 0.384 0.043 0.742 [4 per cell]

Number 1: total magnetization 1.230 μB per atom. Number 2: total magnetization 0.110 μB per atom. Number 3: total magnetization 0.000 μB per atom. Number 4: total magnetization 0.000 μB per atom. Number 5: total magnetization 0.385 μB per atom. Number 6: total magnetization 0.000 μB per atom. Number 7: total magnetization 0.000 μB per atom. Number 8: total magnetization 0.083 μB per atom. Number 9: total magnetization 0.000 μB per atom. Number 10: total magnetization 0.478 μB per atom. Number 11: total magnetization 0.000 μB per atom. Number 12: total magnetization 0.000 μB per atom.